Density functional theory data (PBEsol) for RbTeP2S after structural relaxation.

Summary:
E, eV/atom: -3.634
E_form (uncorrected), meV per atom: 470
Symmetry: P4/mmm (123)
V, Å³ per cell: 138.8

abc: 5.1371 5.1371 5.2613
angles: 90.00 90.00 90.00
With the nearest neighbours (Å) after each atom.
Positions (direct):
P 0.0000 0.5000 0.0000  2 Te 2.57
Te 0.0000 0.0000 0.0000  4 P 2.57, 2 S 2.63
P 0.5000 0.0000 0.0000  2 Te 2.57
S 0.0000 0.0000 0.5000  2 Te 2.63
Rb 0.5000 0.5000 0.5000  4 S 3.63, 8 P 3.68

Density functional theory data (PBEsol) for RbVP2S7 after structural relaxation.

Summary:
E, eV/atom: -5.413
E_form (uncorrected), meV per atom: -601
Symmetry: C2 (5)
V, Å³ per cell: 260.3

abc: 6.3951 6.3951 6.4667
angles: 95.49 95.49 96.13
With the nearest neighbours (Å) after each atom.
Positions (direct):
S 0.4761 0.1462 0.8261  1 P 2.03
S 0.3712 0.3183 0.2822  1 P 2.02
S 0.8538 0.5239 0.1739  1 P 2.03
Rb 0.8907 0.1093 0.5000  8 S 3.43-3.68
P 0.9479 0.6544 0.9193  4 S 2.02-2.15
S 0.4553 0.8123 0.2241  1 P 2.02
P 0.3456 0.0521 0.0807  4 S 2.02-2.15
S 0.6817 0.6288 0.7178  1 P 2.02
S 0.0095 0.9905 0.0000  2 P 2.15
V 0.5005 0.4995 0.0000  6 S 2.41-2.42
S 0.1877 0.5447 0.7759  1 P 2.02

Density functional theory data (PBEsol) for RbZnP2S after structural relaxation.

Summary:
E, eV/atom: -1.829
E_form (uncorrected), meV per atom: 1886
Symmetry: P4/mmm (123)
V, Å³ per cell: 268.9

abc: 5.9772 6.7073 6.7073
angles: 90.00 90.00 90.00
With the nearest neighbours (Å) after each atom.
Positions (direct):
S 0.5000 0.0000 0.0000  2 Rb 2.99
P 0.0000 0.0000 0.5000  2 Rb 3.35
Zn 0.5000 0.5000 0.5000  8 P 4.49, 4 S 4.74
Rb 0.0000 0.0000 0.0000  2 S 2.99
P 0.0000 0.5000 0.0000  2 Rb 3.35

Density functional theory data (PBEsol) for Rb3Zr2P5S18 after structural relaxation.

Summary:
E, eV/atom: -5.414
E_form (uncorrected), meV per atom: -802
Symmetry: Cc (9)
V, Å³ per cell: 1519.1

abc: 6.7653 6.7653 33.3989
angles: 94.29 94.29 91.76
With the nearest neighbours (Å) after each atom.
Positions (direct):
S 0.1924 0.7961 0.6922  1 P 2.04
S 0.7961 0.1924 0.1922  1 P 2.04
Zr 0.3751 0.5109 0.6552  7 S 2.56-2.71
S 0.7387 0.3852 0.9254  1 P 2.04
S 0.6096 0.2015 0.6684  1 P 2.03
Zr 0.1305 0.5362 0.4624  7 S 2.57-2.71
S 0.2015 0.6096 0.1684  1 P 2.03
S 0.9131 0.4570 0.7368  2 P 2.12-2.16
Rb 0.2602 0.4504 0.8650  8 S 3.41-3.77, 1 P 3.73
S 0.6711 0.7261 0.1563  1 P 2.04
P 0.1868 0.6341 0.7412  4 S 1.97-2.16
Zr 0.5109 0.3751 0.1552  7 S 2.56-2.71
S 0.3026 0.0512 0.1408  1 P 2.03
S 0.2965 0.7391 0.3238  1 P 1.97
S 0.9943 0.0109 0.8807  2 P 2.13-2.15
S 0.8422 0.9174 0.9749  1 P 2.03
P 0.4101 0.8338 0.1741  4 S 2.03-2.12
S 0.3852 0.7387 0.4254  1 P 2.04
S 0.3236 0.4080 0.0856  1 P 2.04
S 0.0015 0.4884 0.5335  1 P 2.04
S 0.2802 0.1916 0.4633  1 P 2.04
S 0.8070 0.2860 0.4488  1 P 2.02
S 0.4080 0.3236 0.5856  1 P 2.04
Rb 0.9594 0.7959 0.0717  8 S 3.44-3.83
S 0.4349 0.3995 0.2303  1 P 2.04
S 0.7261 0.6711 0.6563  1 P 2.04
P 0.2824 0.5553 0.5584  4 S 2.04-2.05
S 0.7841 0.1912 0.2940  1 P 1.97
Rb 0.4504 0.2602 0.3650  8 S 3.41-3.77, 1 P 3.73
S 0.5041 0.9986 0.8871  1 P 2.04
S 0.9174 0.8422 0.4749  1 P 2.03
S 0.0109 0.9943 0.3807  2 P 2.13-2.15
S 0.1912 0.7841 0.7940  1 P 1.97
S 0.1916 0.2802 0.9633  1 P 2.04
S 0.2874 0.7758 0.6041  1 P 2.05
S 0.2860 0.8070 0.9488  1 P 2.02
S 0.9986 0.5041 0.3871  1 P 2.04
S 0.7758 0.2874 0.1041  1 P 2.05
Rb 0.6722 0.9067 0.7542  7 S 3.38-3.74, 1 P 3.70
S 0.4355 0.6403 0.5118  1 P 2.04
S 0.4570 0.9131 0.2368  2 P 2.12-2.16
S 0.4884 0.0015 0.0335  1 P 2.04
P 0.1851 0.7335 0.3766  4 S 1.97-2.15
S 0.0512 0.3026 0.6408  1 P 2.03
P 0.5553 0.2824 0.0584  4 S 2.04-2.05
P 0.0714 0.0070 0.9436  4 S 2.02-2.13
Rb 0.9067 0.6722 0.2542  7 S 3.38-3.74, 1 P 3.70
S 0.3995 0.4349 0.7303  1 P 2.04
P 0.0070 0.0714 0.4436  4 S 2.02-2.13
P 0.6341 0.1868 0.2412  4 S 1.97-2.16
S 0.7391 0.2965 0.8238  1 P 1.97
Zr 0.5362 0.1305 0.9624  7 S 2.57-2.71
P 0.8338 0.4101 0.6741  4 S 2.03-2.12
Rb 0.7959 0.9594 0.5717  8 S 3.44-3.83
S 0.6403 0.4355 0.0118  1 P 2.04
P 0.7335 0.1851 0.8766  4 S 1.97-2.15

Density functional theory data (PBEsol) for RbSbP3 after structural relaxation.

Summary:
E, eV/atom: -2.560
E_form (uncorrected), meV per atom: 2031
Symmetry: Pm-3m (221)
V, Å³ per cell: 136.7

abc: 5.1513 5.1513 5.1513
angles: 90.00 90.00 90.00
With the nearest neighbours (Å) after each atom.
Positions (direct):
Rb 0.0000 0.0000 0.0000  6 P 2.58
P 0.0000 0.0000 0.5000  2 Rb 2.58
P 0.0000 0.5000 0.0000  2 Rb 2.58
P 0.5000 0.0000 0.0000  2 Rb 2.58
Sb 0.5000 0.5000 0.5000  12 P 3.64

Density functional theory data (PBEsol) for RbScP2 after structural relaxation.

Summary:
DFT formation energy, eV/atom: -0.015
E, eV/atom: -4.819
Symmetry: Fm-3m (225)
V, Å³ per cell: 84.6

abc: 4.9281 4.9281 4.9281
angles: 60.00 60.00 60.00
With the nearest neighbours (Å) after each atom.
Positions (direct):
Sc 0.0000 0.0000 0.0000  8 P 3.02
P 0.7500 0.7500 0.7500  4 Sc 3.02, 4 Rb 3.02
P 0.2500 0.2500 0.2500  4 Sc 3.02, 4 Rb 3.02
Rb 0.5000 0.5000 0.5000  8 P 3.02